# 1
Material: LaTbCuAg
Method: DFT, PBE
State: optimized geometry

The structure in CIF format:
```
data_LaTbCuAg
_chemical_formula_sum 'La1 Tb1 Cu1 Ag1'
_space_group_name_H-M_alt 'P 4 m m'
_space_group_IT_number 99
_space_group_name_Hall 'P 4 -2'
_cell_length_a 3.621
_cell_length_b 3.621
_cell_length_c 7.439
_cell_angle_alpha 90.00
_cell_angle_beta 90.00
_cell_angle_gamma 90.00
loop_
_atom_site_label
_atom_site_type_symbol
_atom_site_fract_x
_atom_site_fract_y
_atom_site_fract_z
_atom_site_occupancy
La1 La 0.000 0.000 0.000 1
Tb1 Tb 0.000 0.000 0.528 1
Cu1 Cu 0.500 0.500 0.738 1
Ag1 Ag 0.500 0.500 0.289 1
```

Computed properties:
Theoretical density (g/cm³): 7.99
Calculated formation energy (kJ/mol of formula units): -92
Energy relative to the lowest polymorph listed for this composition (eV/atom): 0.0000

=====

# 2
Material: NpGaOsRu
Method: DFT, PBE
State: optimized geometry

The structure in CIF format:
```
data_NpGaOsRu
_chemical_formula_sum 'Np4 Ga4 Os4 Ru4'
_space_group_name_H-M_alt 'F -4 3 m'
_space_group_IT_number 216
_space_group_name_Hall 'F -4 2 3'
_cell_length_a 6.450
_cell_length_b 6.450
_cell_length_c 6.450
_cell_angle_alpha 90.00
_cell_angle_beta 90.00
_cell_angle_gamma 90.00
loop_
_atom_site_label
_atom_site_type_symbol
_atom_site_fract_x
_atom_site_fract_y
_atom_site_fract_z
_atom_site_occupancy
Np1 Np 0.000 0.000 0.000 1
Ga1 Ga 0.000 0.000 0.500 1
Os1 Os 0.250 0.250 0.750 1
Ru1 Ru 0.250 0.250 0.250 1
```

Computed properties:
Theoretical density (g/cm³): 14.80
Calculated formation energy (kJ/mol of formula units): -39

=====

# 3
Material: LaBe2Mo
Method: DFT, PBE
State: optimized geometry

The structure in CIF format:
```
data_LaBe2Mo
_chemical_formula_sum 'La2 Be4 Mo2'
_space_group_name_H-M_alt 'C 1 m 1'
_space_group_IT_number 8
_space_group_name_Hall 'C -2y'
_cell_length_a 6.659
_cell_length_b 3.797
_cell_length_c 5.932
_cell_angle_alpha 90.00
_cell_angle_beta 110.48
_cell_angle_gamma 90.00
loop_
_atom_site_label
_atom_site_type_symbol
_atom_site_fract_x
_atom_site_fract_y
_atom_site_fract_z
_atom_site_occupancy
La1 La 0.000 0.000 0.000 1
Be1 Be 0.296 0.500 0.420 1
Be2 Be 0.466 0.000 0.439 1
Mo1 Mo 0.187 0.000 0.607 1
```

Computed properties:
Theoretical density (g/cm³): 5.98
Calculated formation energy (kJ/mol of formula units): 83
Energy relative to the lowest polymorph listed for this composition (eV/atom): 0.0418

=====

# 4
Material: La2Pm15Tm2
Method: DFT, PBE
State: optimized geometry

The structure in CIF format:
```
data_La2Pm15Tm2
_chemical_formula_sum 'La6 Pm45 Tm6'
_space_group_name_H-M_alt 'R -3 m'
_space_group_IT_number 166
_space_group_name_Hall '-R 3 2"'
_cell_length_a 11.4489
_cell_length_b 11.4489
_cell_length_c 17.9195
_cell_angle_alpha 90.00
_cell_angle_beta 90.00
_cell_angle_gamma 120.00
loop_
_atom_site_label
_atom_site_type_symbol
_atom_site_fract_x
_atom_site_fract_y
_atom_site_fract_z
_atom_site_occupancy
La1 La 0.0000 0.0000 0.1772 1
Pm1 Pm 0.0000 0.2934 0.5000 1
Pm2 Pm 0.0000 0.5000 0.0000 1
Pm3 Pm 0.0135 0.5067 0.6374 1
Tm1 Tm 0.0000 0.0000 0.4057 1
```

Computed properties:
Theoretical density (g/cm³): 6.83
Calculated formation energy (kJ/mol of formula units): 440

=====

Please write out number 1 again, unchanged.
Material: LaTbCuAg
Method: DFT, PBE
State: optimized geometry

The structure in CIF format:
```
data_LaTbCuAg
_chemical_formula_sum 'La1 Tb1 Cu1 Ag1'
_space_group_name_H-M_alt 'P 4 m m'
_space_group_IT_number 99
_space_group_name_Hall 'P 4 -2'
_cell_length_a 3.621
_cell_length_b 3.621
_cell_length_c 7.439
_cell_angle_alpha 90.00
_cell_angle_beta 90.00
_cell_angle_gamma 90.00
loop_
_atom_site_label
_atom_site_type_symbol
_atom_site_fract_x
_atom_site_fract_y
_atom_site_fract_z
_atom_site_occupancy
La1 La 0.000 0.000 0.000 1
Tb1 Tb 0.000 0.000 0.528 1
Cu1 Cu 0.500 0.500 0.738 1
Ag1 Ag 0.500 0.500 0.289 1
```

Computed properties:
Theoretical density (g/cm³): 7.99
Calculated formation energy (kJ/mol of formula units): -92
Energy relative to the lowest polymorph listed for this composition (eV/atom): 0.0000

=====

- Look up the theoretical density of the second one.
  14.80 g/cm³

=====

- The highest calculated formation energy belongs to which entry?
  La2Pm15Tm2

=====

- Among the records above, which one has the highest calculated formation energy?
  La2Pm15Tm2